This record from Alexandria describes CuHgB after structural relaxation. The functional is GGA-PBE.

Computed properties:
Offset from the most stable computed form in kcal/mol of atoms: 4.61
ΔE_f in eV/atom: 0.509
Volume in A^3/atom: 17.388
Magnetic moment in μB/atom: 0.00

a = 3.5092 Å, b = 4.5861 Å, c = 6.7165 Å
α = 87.45°, β = 75.06°, γ = 90.04°
Closest atoms and distances in Å follow each position.
Element x y z (fractional)
Cu: 0.0719 0.2287 0.6176  4 B 2.24, 2 Cu 2.29
B: 0.5625 0.9249 0.6362  1 B 1.83, 2 Cu 1.98
Hg: 0.7660 0.4654 0.2231  1 B 2.48
Hg: 0.3796 0.9808 0.0136  1 B 2.47
Cu: 0.0720 0.7287 0.6167  4 B 1.98
B: 0.5805 0.5320 0.5995  1 B 1.83, 2 Cu 1.98